*one*
A crystal of Y2MnTc relaxed with PBEsol, computed with meta-GGA SCAN.

Unit cell a=4.851 b=4.851 c=4.851 alpha=60.00 beta=60.00 gamma=60.00
Site moments in Bohr magnetons follow the coordinates.
Fractional positions:
Mn1 0.500 0.500 0.500  3.90
Tc1 0.000 0.000 0.000  0.13
Y1 0.250 0.250 0.250  -0.08
Y2 0.750 0.750 0.750  -0.08

Calculated values
Spin magnetization, μB/f.u.: 4.00
Crystal system: cubic



*two*
A crystal of Y2MnTc relaxed with PBEsol, computed with meta-GGA SCAN.

Unit cell a=4.124 b=4.124 c=5.530 alpha=111.89 beta=111.89 gamma=90.00
Site moments in Bohr magnetons follow the coordinates.
Fractional positions:
Mn1 0.500 0.500 0.000  3.93
Tc1 0.250 0.750 0.500  0.10
Y1 0.000 0.000 0.000  -0.10
Y2 0.750 0.250 0.500  -0.14

Calculated values
Spin magnetization, μB/f.u.: 3.96
Crystal system: tetragonal



Most stable: *one*. Least stable: *two*.



*one*
A crystal of MnZnTc relaxed with PBEsol, computed with meta-GGA SCAN.

Unit cell a=4.036 b=4.036 c=4.036 alpha=60.00 beta=60.00 gamma=60.00
Site moments in Bohr magnetons follow the coordinates.
Fractional positions:
Mn1 0.000 0.000 0.000  3.99
Tc1 0.500 0.500 0.500  -1.48
Zn1 0.250 0.250 0.250  -0.02

Calculated values
Spin magnetization, μB/f.u.: 2.68
Crystal system: cubic



*two*
A crystal of MnZnTc relaxed with PBEsol, computed with meta-GGA SCAN.

Unit cell a=2.871 b=2.871 c=5.006 alpha=106.66 beta=106.66 gamma=90.00
Site moments in Bohr magnetons follow the coordinates.
Fractional positions:
Zn1 0.341 0.341 0.681  -0.02
Mn1 0.009 0.009 0.017  0.61
Tc1 0.651 0.651 0.301  -0.25

Calculated values
Spin magnetization, μB/f.u.: 0.34
Crystal system: tetragonal



Most stable: *two*. Least stable: *one*.



*one*
A crystal of Mn2TlTe relaxed with PBEsol, computed with meta-GGA SCAN.

Unit cell a=3.333 b=3.333 c=6.741 alpha=90.00 beta=90.00 gamma=90.00
Site moments in Bohr magnetons follow the coordinates.
Fractional positions:
Mn1 0.000 0.000 0.783  3.75
Mn2 0.000 0.000 0.217  3.75
Te1 0.500 0.500 0.000  -0.10
Tl1 0.500 0.500 0.500  -0.03

Calculated values
Spin magnetization, μB/f.u.: 7.45
Crystal system: tetragonal



*two*
A crystal of Mn2TlTe relaxed with PBEsol, computed with meta-GGA SCAN.

Unit cell a=4.001 b=4.001 c=5.677 alpha=110.64 beta=110.64 gamma=90.00
Site moments in Bohr magnetons follow the coordinates.
Fractional positions:
Mn1 0.000 0.000 0.000  4.08
Mn2 0.750 0.250 0.500  4.05
Te1 0.500 0.500 0.000  0.01
Tl1 0.250 0.750 0.500  -0.07

Calculated values
Spin magnetization, μB/f.u.: 8.33
Crystal system: tetragonal



*three*
A crystal of Mn2TlTe relaxed with PBEsol, computed with meta-GGA SCAN.

Unit cell a=3.518 b=4.737 c=4.737 alpha=96.19 beta=95.94 gamma=95.94
Site moments in Bohr magnetons follow the coordinates.
Fractional positions:
Mn1 0.000 0.500 0.000  3.96
Mn2 0.000 0.000 0.500  3.96
Te1 0.500 0.000 0.000  -0.03
Tl1 0.500 0.500 0.500  -0.07

Calculated values
Spin magnetization, μB/f.u.: 7.97
Crystal system: monoclinic



Most stable: *two*. Least stable: *one*.